The following is a DFT calculation (meta-GGA SCAN) of BaSr2HfIr at its PBEsol-relaxed geometry.

Values from the calculation:
The electronic total energy is -43.1230 eV/atom. For the calculated formation energy, the calculation gives 0.4515 eV/atom.

abc: 4.815 6.161 6.161
angles: 90.00 90.00 90.00
Fractional positions:
1 Ir 0.500 0.000 0.000
2 Sr 0.000 0.500 0.000
3 Ba 0.500 0.500 0.500
4 Sr 0.000 0.000 0.500
5 Hf 0.000 0.000 0.000